The following is a PBE calculation of a relaxed structure of CuOs4, from Alexandria.

Summary:
* excess energy over the best structure of this formula in the dataset: 1.9468 eV/atom
* Fermi-level density of states: 1.2228 states/eV/atom
* raw total energy: -0.5553 Ry/atom

Cell: 4.3447 4.3447 4.3447 Å, 90.00 90.00 90.00°
Space group Pm-3m (No. 221)
Asymmetric unit:
Cu: 0.0000 0.0000 0.0000 [1 per cell]
Os: 0.0000 0.0000 0.5000 [3 per cell]
Os: 0.5000 0.5000 0.5000 [1 per cell]

***

The following is a PBE calculation of a relaxed structure of CuOs, from Alexandria.

Summary:
* excess energy over the best structure of this formula in the dataset: 1.0071 eV/atom
* Fermi-level density of states: 1.1636 states/eV/atom
* raw total energy: -0.4744 Ry/atom

Cell: 3.8969 3.8969 4.8956 Å, 90.00 90.00 120.00°
Space group P6_3/mmc (No. 194)
Asymmetric unit:
Cu: 0.3333 0.6667 0.2500 [2 per cell]
Os: 0.0000 0.0000 0.0000 [2 per cell]

***

The following is a PBE calculation of a relaxed structure of CuOs, from Alexandria.

Summary:
* excess energy over the best structure of this formula in the dataset: 0.1432 eV/atom
* Fermi-level density of states: 0.7700 states/eV/atom
* raw total energy: -0.5379 Ry/atom

Cell: 3.8453 3.8453 7.1672 Å, 90.00 90.00 90.00°
Space group I4_1/amd (No. 141, origin choice 2)
Asymmetric unit:
Cu: 0.0000 0.2500 0.3750 [4 per cell]
Os: 0.0000 0.2500 0.8750 [4 per cell]

***

The following is a PBE calculation of a relaxed structure of Cu3Os, from Alexandria.

Summary:
* excess energy over the best structure of this formula in the dataset: 0.0512 eV/atom
* Fermi-level density of states: 0.6259 states/eV/atom
* raw total energy: -0.4147 Ry/atom

Cell: 5.2794 7.6648 2.5171 Å, 90.00 90.00 90.00°
Space group Cmmm (No. 65)
Asymmetric unit:
Cu: 0.0000 0.0000 0.0000 [2 per cell]
Cu: 0.2500 0.2500 0.5000 [4 per cell]
Os: 0.0000 0.5000 0.0000 [2 per cell]

***

The following is a PBE calculation of a relaxed structure of CuOs, from Alexandria.

Summary:
* excess energy over the best structure of this formula in the dataset: 0.1273 eV/atom
* Fermi-level density of states: 0.7720 states/eV/atom
* raw total energy: -0.5390 Ry/atom

Cell: 4.3254 7.9439 4.6349 Å, 90.00 90.00 90.00°
Space group Amm2 (No. 38)
Asymmetric unit:
Cu: 0.0000 0.0000 0.0000 [2 per cell]
Cu: 0.5000 0.1648 0.8429 [4 per cell]
Os: 0.0000 0.1651 0.4960 [4 per cell]
Os: 0.5000 0.0000 0.3419 [2 per cell]

***

The following is a PBE calculation of a relaxed structure of Cu4Os, from Alexandria.

Summary:
* excess energy over the best structure of this formula in the dataset: 0.0428 eV/atom
* Fermi-level density of states: 0.6495 states/eV/atom
* raw total energy: -0.3915 Ry/atom

Cell: 2.6093 2.6093 18.3868 Å, 90.00 90.00 90.00°
Space group I4/mmm (No. 139)
Asymmetric unit:
Cu: 0.0000 0.0000 0.1052 [4 per cell]
Cu: 0.0000 0.0000 0.2976 [4 per cell]
Os: 0.0000 0.0000 0.5000 [2 per cell]

***

Energy relative to the elements values (in eV per atom) by entry order: 2.248; 1.209; 0.345; 0.238; 0.329; 0.197.